Ta2FeO6 | PBE with a Hubbard U | optimized geometry

Geometry as POSCAR:
```
Ta2FeO6
1.0
-0.958 3.666 0.353
-4.041 1.232 -3.253
-5.976 0.111 3.141
Ta Fe O
2 1 6
direct
0.182 0.777 0.859
0.818 0.223 0.141
0.000 0.500 0.500
0.696 0.673 0.934
0.304 0.327 0.066
0.984 0.826 0.206
0.346 0.709 0.599
0.016 0.174 0.794
0.654 0.291 0.401
```

Properties
uncorrected energy = -81.719 eV per cell
total magnetization = 4.000 Bohr magnetons per cell
calculated density = 7.3 g/cm3
crystal system = monoclinic
distance to the lowest polymorph of the same formula = 54 meV per atom